The following is a PBE calculation of AlAs2BrO after structural relaxation, from the Alexandria database.

Summary:
Formation energy without anion corrections   0.7823 eV/atom
Fermi-level density of states   5.21 states/eV per cell
E above lowest polymorph   585.7 meV/atom
Size of the total moment   0.5 Bohr magnetons per cell

Cell: 4.913 4.913 4.899 Å, 90.00 90.00 90.00°
Space group P4/mmm (No. 123)
One atom of each set of equivalent atoms:
Al: 0.000 0.000 0.000 x1
As: 0.000 0.500 0.000 x2
Br: 0.000 0.000 0.500 x1
O: 0.500 0.500 0.500 x1